A plane-wave DFT calculation with meta-GGA SCAN was carried out for a PBEsol-optimized structure of InSnRu2.

- Crystal system: cubic

```
data_InSnRu2
_chemical_formula_sum 'In4 Sn4 Ru8'
_symmetry_space_group_name_H-M 'F m -3 m'
_symmetry_Int_Tables_number 225
_symmetry_space_group_name_Hall '-F 4 2 3'
_cell_length_a 6.362
_cell_length_b 6.362
_cell_length_c 6.362
_cell_angle_alpha 90.00
_cell_angle_beta 90.00
_cell_angle_gamma 90.00
loop_
_atom_site_label
_atom_site_fract_x
_atom_site_fract_y
_atom_site_fract_z
_atom_site_occupancy
In1 0.000 0.000 0.000 1
Sn1 0.000 0.000 0.500 1
Ru1 0.250 0.250 0.250 1
```

=====

A plane-wave DFT calculation with meta-GGA SCAN was carried out for a PBEsol-optimized structure of Sr2InRu.

- Crystal system: tetragonal

```
data_Sr2InRu
_chemical_formula_sum 'Sr2 In1 Ru1'
_symmetry_space_group_name_H-M 'P 4/m m m'
_symmetry_Int_Tables_number 123
_symmetry_space_group_name_Hall '-P 4 2'
_cell_length_a 3.657
_cell_length_b 3.657
_cell_length_c 7.893
_cell_angle_alpha 90.00
_cell_angle_beta 90.00
_cell_angle_gamma 90.00
loop_
_atom_site_label
_atom_site_fract_x
_atom_site_fract_y
_atom_site_fract_z
_atom_site_occupancy
Sr1 0.000 0.000 0.215 1
In1 0.500 0.500 0.500 1
Ru1 0.500 0.500 0.000 1
```

=====

Values of calculated total energy, in order: -34.765; -28.026, all in eV/atom.
Values of calculated formation energy, in order: -0.0252; 0.1653, all in eV per atom.